Below is a geometry-optimized BaAlP2Cl structure, with properties calculated at the GGA-PBE level. Values from VASP.

Values from the calculation:
DOS(E_F)   0.7 states/eV/cell
Space-group type   P4/mmm (123)
Distance to the lowest polymorph of the same formula   0.0 kJ/mol of atoms
Energy relative to the elements, uncorrected   -3.7 eV per formula unit
Spin magnetization   0.000 μB/atom

Cell and atoms, written as Quantum ESPRESSO input:
```
&SYSTEM
  ibrav = 0, nat = 5, ntyp = 4
/
ATOMIC_SPECIES
P 30.97 P.upf
Al 26.98 Al.upf
Ba 137.33 Ba.upf
Cl 35.45 Cl.upf
CELL_PARAMETERS angstrom
-1.5127 -4.3716 0.4267
2.7624 -1.2977 -3.5023
4.1253 -1.0712 3.6507
ATOMIC_POSITIONS crystal
P 0.0000 0.5000 0.0000
P 0.5000 0.0000 0.0000
Al 0.0000 0.0000 0.0000
Ba 0.5000 0.5000 0.5000
Cl 0.0000 0.0000 0.5000
```